# 1
This record from the Alexandria database describes a geometry-optimized Cd3Ru structure. The functional is PBE-GGA.

Results
VASP energy, eV per atom: -2.636
SG: No. 223
Mass density, kg/m3: 9470

a = 5.3568 Å, b = 5.3568 Å, c = 5.3568 Å
α = 90.00°, β = 90.00°, γ = 90.00°
Element x y z (fractional)
Cd 0.7500 0.5000 0.0000
Cd 0.5000 0.0000 0.2500
Cd 0.5000 0.0000 0.7500
Cd 0.0000 0.2500 0.5000
Ru 0.0000 0.0000 0.0000
Ru 0.5000 0.5000 0.5000
Cd 0.0000 0.7500 0.5000
Cd 0.2500 0.5000 0.0000

---

# 2
This record from the Alexandria database describes a geometry-optimized Er3BiB structure. The functional is PBE-GGA.

Results
VASP energy, eV per atom: -5.319
SG: No. 221
Mass density, kg/m3: 9619

a = 4.9942 Å, b = 4.9942 Å, c = 4.9942 Å
α = 90.00°, β = 90.00°, γ = 90.00°
Element x y z (fractional)
Er 0.5000 0.0000 0.0000
Er 0.0000 0.0000 0.5000
B 0.0000 0.0000 0.0000
Er 0.0000 0.5000 0.0000
Bi 0.5000 0.5000 0.5000

---

# 3
This record from the Alexandria database describes a geometry-optimized NaMoI3 structure. The functional is PBE-GGA.

Results
VASP energy, eV per atom: -3.522
SG: No. 221
Mass density, kg/m3: 4241

a = 5.8052 Å, b = 5.8052 Å, c = 5.8052 Å
α = 90.00°, β = 90.00°, γ = 90.00°
Element x y z (fractional)
Na 0.5000 0.5000 0.5000
I 0.0000 0.5000 0.0000
I 0.0000 0.0000 0.5000
I 0.5000 0.0000 0.0000
Mo 0.0000 0.0000 0.0000

---

# 4
This record from the Alexandria database describes a geometry-optimized ZnSe3 structure. The functional is PBE-GGA.

Results
VASP energy, eV per atom: -2.791
SG: No. 187
Mass density, kg/m3: 5904

a = 3.6896 Å, b = 3.6896 Å, c = 7.2112 Å
α = 90.00°, β = 90.00°, γ = 120.00°
Element x y z (fractional)
Zn 0.6667 0.3333 0.7500
Se 0.6667 0.3333 0.2500
Se 0.0000 0.0000 0.9683
Se 0.0000 0.0000 0.5317

---

# 5
This record from the Alexandria database describes a geometry-optimized U2Co3As4 structure. The functional is PBE-GGA.

Results
VASP energy, eV per atom: -7.322
SG: No. 69
Mass density, kg/m3: 10668

a = 5.4948 Å, b = 5.4948 Å, c = 6.3637 Å
α = 101.81°, β = 101.81°, γ = 121.74°
Element x y z (fractional)
Co 0.5000 0.0000 0.0000
As 0.6874 0.0053 0.6927
Co 0.0000 0.0000 0.0000
As 0.0053 0.6874 0.6927
U 0.6272 0.6272 0.2544
Co 0.0000 0.5000 0.0000
As 0.9947 0.3126 0.3073
U 0.3728 0.3728 0.7456
As 0.3126 0.9947 0.3073

---

# 6
This record from the Alexandria database describes a geometry-optimized SmB3Rh6 structure. The functional is PBE-GGA.

Results
VASP energy, eV per atom: -7.365
SG: No. 1
Mass density, kg/m3: 9403

a = 5.5954 Å, b = 5.6104 Å, c = 6.6172 Å
α = 79.61°, β = 126.91°, γ = 120.20°
Element x y z (fractional)
Rh 0.2453 0.9198 0.6800
B 0.3368 0.6405 0.9749
Rh 0.1957 0.5261 0.2252
B 0.2238 0.2017 0.4268
Rh 0.7076 0.5279 0.2322
Rh 0.6981 0.0308 0.2250
Sm 0.9382 0.9755 0.9147
B 0.6426 0.3140 0.9574
Rh 0.7597 0.4346 0.6806
Rh 0.2521 0.4291 0.6833

---

# 7
This record from the Alexandria database describes a geometry-optimized BaMgCl2 structure. The functional is PBE-GGA.

Results
VASP energy, eV per atom: -3.267
SG: No. 99
Mass density, kg/m3: 3284

a = 4.2273 Å, b = 4.2273 Å, c = 6.5793 Å
α = 90.00°, β = 90.00°, γ = 90.00°
Element x y z (fractional)
Ba 0.5000 0.5000 0.7921
Cl 0.0000 0.0000 0.0103
Mg 0.0000 0.0000 0.3991
Cl 0.5000 0.5000 0.2985

---

# 8
This record from the Alexandria database describes a geometry-optimized LaPm3Ho12 structure. The functional is PBE-GGA.

Results
VASP energy, eV per atom: -4.608
SG: No. 123
Mass density, kg/m3: 8283

a = 5.0380 Å, b = 5.0380 Å, c = 20.1661 Å
α = 90.00°, β = 90.00°, γ = 90.00°
Element x y z (fractional)
Ho 0.0000 0.5000 0.8732
Ho 0.5000 0.5000 0.5000
Pm 0.0000 0.0000 0.5000
Ho 0.5000 0.0000 0.6246
La 0.0000 0.0000 0.0000
Ho 0.0000 0.5000 0.1268
Ho 0.5000 0.5000 0.2512
Pm 0.0000 0.0000 0.2503
Ho 0.5000 0.5000 0.7488
Ho 0.0000 0.5000 0.3754
Ho 0.5000 0.0000 0.1268
Ho 0.5000 0.5000 0.0000
Ho 0.5000 0.0000 0.3754
Ho 0.5000 0.0000 0.8732
Pm 0.0000 0.0000 0.7497
Ho 0.0000 0.5000 0.6246

---

no.,M_tot (μB per cell)
1,0.00
2,0.00
3,4.00
4,0.00
5,6.23
6,0.00
7,0.00
8,0.00